A plane-wave DFT calculation with GGA-PBE was carried out for a geometry-optimized SrUGe2O8 structure.

Summary:
space-group type = R32, No. 155
formation energy without anion corrections = -2524.2 kJ/mol of formula units

a = 9.0491 Å, b = 9.0491 Å, c = 9.0491 Å
α = 32.24°, β = 32.24°, γ = 32.24°
With the nearest neighbours (Å) after each atom.
Element x y z (fractional)
Sr: 0.0000 0.0000 0.0000  6 O 2.94
U: 0.5000 0.5000 0.5000  6 O 2.11
Ge: 0.2476 0.2476 0.2476  4 O 1.71-1.78
Ge: 0.7524 0.7524 0.7524  4 O 1.71-1.78
O: 0.1171 0.4681 0.7558  1 Ge 1.78
O: 0.2442 0.5319 0.8829  1 Ge 1.78
O: 0.3142 0.3142 0.3142  1 Ge 1.71
O: 0.4681 0.7558 0.1171  1 Ge 1.78
O: 0.5319 0.8829 0.2442  1 Ge 1.78
O: 0.6858 0.6858 0.6858  1 Ge 1.71
O: 0.7558 0.1171 0.4681  1 Ge 1.78
O: 0.8829 0.2442 0.5319  1 Ge 1.78